# 1
CaTmCu2Si2: relaxed, PBE-GGA.

Cell and atoms, written as POSCAR:
```
CaTmCu2Si2
1.0
4.0949 0.0000 0.0000
-2.0474 3.5463 0.0000
0.0000 0.0000 7.8984
Si Cu Ca Tm
2 2 1 1
Cartesian
2.0474 1.1821 5.7988
0.0000 2.3642 2.0997
2.0474 1.1821 2.0920
0.0000 2.3642 5.8065
0.0000 0.0000 0.0000
0.0000 0.0000 3.9492
```

E_form (uncorrected)	-0.538	eV per atom
Fermi-level density of states	0.543	states/eV per atom
symmetry	P-3m1 (164)
energy	-4.790	eV/atom

---

# 2
LiUIn: relaxed, PBE-GGA.

Cell and atoms, written as POSCAR:
```
LiUIn
1.0
3.0648 0.0000 0.0000
0.0000 4.8669 0.0000
-1.5324 0.0000 8.3471
In U Li
2 2 2
Cartesian
0.0000 1.2167 1.4541
1.5324 3.6502 6.8930
0.0000 3.6502 4.0631
1.5324 1.2167 4.2840
0.0000 1.2167 7.2949
1.5324 3.6502 1.0522
```

Fermi-level density of states	1.223	states/eV per atom
formation enthalpy at 0 K	-0.08	eV/f.u.
symmetry	Cmcm (63)
energy	-5.340	eV/atom

---

# 3
MnZnRu3: relaxed, PBE-GGA.

Cell and atoms, written as POSCAR:
```
MnZnRu3
1.0
4.3930 0.0000 0.0000
0.0000 4.3930 0.0000
0.0000 0.0000 4.3930
Mn Ru Zn
1 3 1
Cartesian
0.0000 0.0000 0.0000
2.1965 0.0000 0.0000
0.0000 0.0000 2.1965
0.0000 2.1965 0.0000
2.1965 2.1965 2.1965
```

relative energy among the computed polymorphs	0.00	kJ/mol of atoms
Fermi-level density of states	1.311	states/eV per atom
formation enthalpy at 0 K	5.89	eV/f.u.
symmetry	Pm-3m (221)
energy	-6.476	eV/atom

---

# 4
Ho3GaAg3Se8: relaxed, PBE-GGA.

Cell and atoms, written as POSCAR:
```
Ho3GaAg3Se8
1.0
8.1696 0.0000 0.0000
-4.0848 7.0738 -0.0271
0.0000 -4.7023 6.4870
Ho Se Ag Ga
3 8 3 1
Cartesian
2.0424 1.1857 3.2300
-2.0424 1.1857 3.2300
4.0848 -2.3512 3.2435
6.2769 -3.4379 4.7709
-2.1921 5.8094 1.6890
4.0848 0.0129 4.7922
0.0000 -0.1635 4.7569
0.0000 2.3586 1.6677
2.1921 5.8094 1.6890
1.8927 -3.4379 4.7709
4.0848 2.5350 1.7031
0.0000 0.0000 0.0000
-2.0424 3.5369 -0.0135
2.0424 3.5369 -0.0135
0.0000 -2.3512 3.2435
```

E_form (uncorrected)	-0.957	eV per atom
Fermi-level density of states	0.494	states/eV per atom
symmetry	R-3m (166)
energy	-4.503	eV/atom

---

# 5
Li2HfTlV: relaxed, PBE-GGA.

Cell and atoms, written as POSCAR:
```
Li2HfTlV
1.0
4.9874 0.0000 0.0000
0.0000 5.4626 0.0000
0.0000 0.0000 4.9874
V Hf Li Tl
1 1 2 1
Cartesian
2.4937 2.7313 2.4937
0.0000 0.0000 0.0000
2.4937 0.0000 0.0000
0.0000 0.0000 2.4937
0.0000 2.7313 0.0000
```

Fermi-level density of states	1.579	states/eV per atom
formation enthalpy at 0 K	8.67	eV/f.u.
symmetry	P4/mmm (123)
energy	-3.320	eV/atom

---

# 6
K2TcBr: relaxed, PBE-GGA.

Cell and atoms, written as POSCAR:
```
K2TcBr
1.0
-3.0794 9.5605 -0.3110
-5.9809 7.8243 1.9982
-2.4519 9.0163 3.6983
Br K Tc
1 2 1
Cartesian
-8.6342 19.8008 4.0391
-5.6515 12.9608 2.6438
-0.1046 0.2398 0.0489
-2.8781 6.6003 1.3464
```

E_form (uncorrected)	0.396	eV per atom
relative energy among the computed polymorphs	6.86	kJ/mol of atoms
Fermi-level density of states	0.632	states/eV per atom
symmetry	R-3m (166)
energy	-3.163	eV/atom

---

# 7
SmEr7Tm12: relaxed, PBE-GGA.

Cell and atoms, written as POSCAR:
```
SmEr7Tm12
1.0
-5.7148 -5.3289 3.5076
6.5803 -5.4566 0.5330
1.8071 4.1119 7.2929
Tm Er Sm
12 7 1
Cartesian
-1.7464 -2.8830 7.9364
1.6386 -2.4701 8.5606
1.0340 -4.2035 2.7729
4.5087 -1.7212 7.1455
-0.0756 -5.5943 7.1252
-1.0117 -1.6353 4.7676
1.8901 -7.0129 4.6470
4.4190 -3.7906 3.3971
0.7825 0.3393 6.6865
-1.8360 -4.9524 4.1881
3.6844 -5.0383 6.5660
2.7482 -1.0793 4.2083
1.8766 -2.2806 0.5815
1.3363 -3.3368 5.6668
1.5964 -7.5951 8.6777
1.0762 0.9216 2.6559
-1.7587 -1.6226 1.8263
0.7961 -4.3929 10.7520
4.4313 -5.0510 9.5072
0.0000 0.0000 0.0000
```

relative energy among the computed polymorphs	0.00	kJ/mol of atoms
Fermi-level density of states	0.915	states/eV per atom
formation enthalpy at 0 K	6.39	eV/f.u.
symmetry	R-3 (148)
energy	-4.196	eV/atom

---

# 8
Mg5IrRh: relaxed, PBE-GGA.

Cell and atoms, written as POSCAR:
```
Mg5IrRh
1.0
6.7750 0.0015 -0.0792
2.1508 6.4246 -0.0792
3.1072 2.2370 8.1711
Mg Rh Ir
10 2 2
Cartesian
7.1420 3.3817 4.3585
5.0387 7.3280 6.0491
3.9192 4.5817 0.2730
4.7187 3.7675 6.9557
7.3144 4.8955 1.0570
3.5163 2.1612 2.8702
4.8911 5.2814 3.6542
8.5167 6.5019 5.1425
6.9944 1.3351 1.9636
8.1139 4.0814 7.7398
6.5233 5.2659 6.0491
5.5098 3.3972 1.9636
1.5536 1.1185 4.0855
0.0000 0.0000 0.0000
```

Fermi-level density of states	0.386	states/eV per atom
formation enthalpy at 0 K	0.37	eV/f.u.
symmetry	C2/c (15)
energy	-3.402	eV/atom

---

# 9
ZrIrPb2: relaxed, PBE-GGA.

Cell and atoms, written as POSCAR:
```
ZrIrPb2
1.0
-4.8994 -3.1419 -1.2614
-3.1970 -4.9477 0.8756
-4.1101 0.2929 3.5218
Pb Ir Zr
2 1 1
Cartesian
-4.2093 0.0823 3.4228
-6.0040 -3.6877 1.6669
-9.1549 -5.8475 2.3520
-3.0516 -1.9492 0.7840
```

relative energy among the computed polymorphs	19.16	kJ/mol of atoms
Fermi-level density of states	0.795	states/eV per atom
formation enthalpy at 0 K	0.55	eV/f.u.
symmetry	C2/m (12)
energy	-6.068	eV/atom

---

# 10
Nd12PaCo7: relaxed, PBE-GGA.

Cell and atoms, written as POSCAR:
```
Nd12PaCo7
1.0
8.4499 -0.4225 -2.7391
-3.6444 7.6353 -2.7391
-0.2815 -0.4225 8.8783
Co Nd Pa
7 12 1
Cartesian
-3.1959 7.1578 -0.3727
2.7030 6.9828 -4.2310
7.7199 -0.3675 3.7728
7.0857 1.6064 -2.9663
2.2620 3.3952 1.7001
-2.5617 5.1839 6.3664
1.8210 -0.1925 7.6311
4.6436 1.5377 -1.6181
1.3137 3.0393 -0.9530
1.5204 0.3494 4.9104
3.0168 0.6629 1.5269
-0.1196 5.2527 5.0183
-1.6570 4.8776 0.0950
6.1810 1.9128 3.3051
1.5072 6.1274 1.8733
-0.2762 2.3830 2.4732
3.0037 6.4409 -1.5102
4.8002 4.4074 0.9269
3.2103 3.7510 4.3532
0.0000 0.0000 0.0000
```

Fermi-level density of states	0.996	states/eV per atom
formation enthalpy at 0 K	-1.73	eV/f.u.
symmetry	R-3 (148)
energy	-5.909	eV/atom

---

# 11
Tb5Tl2Cd: relaxed, PBE-GGA.

Cell and atoms, written as POSCAR:
```
Tb5Tl2Cd
1.0
-4.6407 2.3923 -6.8144
-3.7623 -7.7148 -0.1462
-0.3391 4.8027 7.3243
Tb Cd Tl
10 2 4
Cartesian
-4.2098 3.4832 0.3083
-6.7364 1.8829 -1.7846
-4.9018 -3.8900 3.5984
-3.5761 0.3312 -1.2298
-4.5322 -4.0031 0.0553
-3.8402 3.3702 -3.2348
-2.0057 -2.4027 2.1482
-5.1659 -0.8510 1.5935
0.0000 0.0000 0.0000
-4.2015 -2.6612 -3.4803
-2.2703 1.0707 1.9220
-6.4718 -1.5905 -1.5583
-3.5797 0.3985 -4.4504
-6.3902 -2.9799 -5.8881
-4.8233 -5.7210 -2.5102
-2.0128 -2.3426 -1.0725
```

Fermi-level density of states	1.067	states/eV per atom
formation enthalpy at 0 K	-1.90	eV/f.u.
symmetry	I4/mcm (140)
energy	-3.837	eV/atom

---

# 12
Na2CeYSe4: relaxed, PBE-GGA.

Cell and atoms, written as POSCAR:
```
Na2CeYSe4
1.0
-3.5974 -0.6107 -2.1362
-0.4558 -6.7863 2.7077
-3.4920 4.6760 4.5436
Y Na Se Ce
1 2 4 1
Cartesian
0.0000 0.0000 0.0000
-3.5447 2.0326 1.2037
-1.9739 -1.0552 3.6257
-1.1618 -4.0054 3.1015
-2.7860 1.8951 4.1498
-2.7145 -0.8321 0.6247
-4.8306 -1.8889 4.4904
-2.0266 -3.6985 0.2857
```

E_form (uncorrected)	-1.662	eV per atom
Fermi-level density of states	0.742	states/eV per atom
symmetry	P2/m (10)
energy	-5.284	eV/atom

---

- energy of number 6 (K2TcBr)?
  -3.163 eV/atom

---

- The highest energy belongs to which entry?
  K2TcBr

---

- Among the records above, which one has the highest energy?
  K2TcBr

---

- Number 12 is which compound?
  Na2CeYSe4